[1]
The following is a DFT calculation (GGA-PBE) of a geometry-optimized LaScO2 structure.

```
4
Lattice="2.1917 -0.1462 3.6121 1.6533 3.5403 1.6141 -1.6228 1.6742 3.5264" Properties=species:S:1:pos:R:3 pbc="T T T"
Sc 0.0000 0.0000 0.0000
O 0.5556 1.2671 2.1882
O 1.6667 3.8012 6.5645
La 1.1111 2.5341 4.3763
```

Final energy = -29.9 eV for the cell shown
Energy relative to the elements, uncorrected = -2.184 eV per atom
DOS at the Fermi energy = 2.9 states/eV per cell

[2]
The following is a DFT calculation (GGA-PBE) of a geometry-optimized LaSc2O4 structure.

```
14
Lattice="-1.2835 -0.1552 2.9648 5.4715 0.0858 0.6089 -0.2181 10.6321 0.4620" Properties=species:S:1:pos:R:3 pbc="T T T"
La 0.3274 7.8984 2.3194
La 3.6426 2.6643 1.7163
Sc 1.1694 4.6138 0.7477
Sc 2.7204 9.8562 3.4578
Sc 1.2496 0.7066 0.5779
Sc 2.8005 5.9490 3.2880
O 1.9259 1.0794 2.6545
O 1.8642 4.0903 2.7854
O 2.0440 9.4833 1.3812
O 2.1058 6.4725 1.2503
O 3.4807 7.9038 3.6848
O 0.4893 2.6590 0.3510
O -0.6417 -0.0776 1.4824
O -0.7508 5.2385 1.7134
```

Distance to the lowest polymorph of the same formula = 0 meV/atom
Final energy = -121.3 eV for the cell shown
Energy relative to the elements, uncorrected = -3.318 eV per atom
DOS at the Fermi energy = 2.7 states/eV per cell

[3]
The following is a DFT calculation (GGA-PBE) of a geometry-optimized La2ScO4 structure.

```
14
Lattice="-2.8516 1.0947 -5.4178 4.3200 -3.3177 -2.9441 -2.6064 -5.7423 2.6465" Properties=species:S:1:pos:R:3 pbc="T T T"
La 1.3466 -1.9017 -5.6475
La -2.4846 -6.0637 -0.0679
La -0.8865 -3.1436 -1.0138
La -0.2514 -4.8218 -4.7016
Sc 2.2454 -3.2826 -2.7724
Sc -3.3834 -4.6828 -2.9430
O 0.2986 -2.7628 -3.2250
O -1.8372 -6.5803 -5.0468
O 0.6992 -1.3851 -0.6686
O 2.2824 -4.2864 -4.5769
O -0.7698 -4.6487 0.8536
O -3.4203 -3.6790 -1.1385
O -1.4366 -5.2025 -2.4905
O -0.3682 -3.3167 -6.5690
```

Final energy = -114.6 eV for the cell shown
Energy relative to the elements, uncorrected = -3.042 eV per atom
DOS at the Fermi energy = 4.1 states/eV per cell

[4]
The following is a DFT calculation (GGA-PBE) of a geometry-optimized LaScO3 structure.

```
5
Lattice="4.4760 0.0000 0.0000 0.0000 4.4760 0.0000 0.0000 0.0000 4.4760" Properties=species:S:1:pos:R:3 pbc="T T T"
Sc 2.2380 2.2380 2.2380
O 0.0000 2.2380 0.0000
O 0.0000 0.0000 2.2380
O 2.2380 0.0000 0.0000
La 0.0000 0.0000 0.0000
```

Final energy = -34.9 eV for the cell shown
Energy relative to the elements, uncorrected = -1.759 eV per atom
DOS at the Fermi energy = 6.1 states/eV per cell

[5]
The following is a DFT calculation (GGA-PBE) of a geometry-optimized LaScO2 structure.

```
8
Lattice="5.2863 0.0000 0.0000 0.0000 5.2863 0.0000 2.6432 2.6432 5.2429" Properties=species:S:1:pos:R:3 pbc="T T T"
Sc 2.6432 2.6432 0.0000
Sc 2.6432 5.2863 2.6214
O 3.6841 1.3216 1.3107
O 1.6022 3.9647 1.3107
O 3.9647 4.2454 3.9322
O 6.6079 6.3272 3.9322
La 0.0000 0.0000 0.0000
La 5.2863 2.6432 2.6214
```

Final energy = -63.6 eV for the cell shown
Energy relative to the elements, uncorrected = -2.651 eV per atom
DOS at the Fermi energy = 2.0 states/eV per cell

[6]
The following is a DFT calculation (GGA-PBE) of a geometry-optimized LaScO3 structure.

```
20
Lattice="-3.3002 -0.5100 -4.6220 3.3963 -4.3351 -1.9467 -4.6603 -5.4136 3.9249" Properties=species:S:1:pos:R:3 pbc="T T T"
La -6.5983 -4.7649 -1.7127
La -1.2345 -3.5690 -2.1572
La -3.3297 -6.6897 -0.4866
La 2.0341 -5.4939 -0.9311
Sc -0.6320 -4.8743 0.9891
Sc -3.9802 -2.9618 -0.3485
Sc -1.6501 -0.2550 -2.3110
Sc 1.6982 -2.1675 -0.9733
O -3.8967 -4.6481 -1.6514
O -2.0566 -3.3953 0.4139
O -4.3290 -8.9793 -1.5236
O 1.1539 -3.4947 -2.5264
O -0.6675 -5.6106 -0.9923
O -2.5076 -6.8634 -3.0576
O -0.2352 -1.2794 -1.1202
O -5.7181 -6.7640 -0.1174
O -2.3062 -4.1354 -4.2108
O -1.5335 -8.4414 -0.7700
O -3.0306 -1.8173 -1.8738
O -2.2580 -6.1234 1.5670
```

Final energy = -175.2 eV for the cell shown
Energy relative to the elements, uncorrected = -3.533 eV per atom
DOS at the Fermi energy = 0.0 states/eV per cell

[7]
The following is a DFT calculation (GGA-PBE) of a geometry-optimized LaScO structure.

```
3
Lattice="6.0876 0.0000 0.0000 0.0000 3.4204 0.0000 0.0000 -1.7102 2.9621" Properties=species:S:1:pos:R:3 pbc="T T T"
Sc 1.2168 0.0000 1.9747
O 0.3279 0.0000 0.0000
La 4.5430 1.7102 0.9874
```

Distance to the lowest polymorph of the same formula = 131 meV/atom
Final energy = -21.5 eV for the cell shown
Energy relative to the elements, uncorrected = -1.751 eV per atom
DOS at the Fermi energy = 2.1 states/eV per cell

[8]
The following is a DFT calculation (GGA-PBE) of a geometry-optimized La2ScO structure.

```
4
Lattice="3.5646 0.0000 0.0000 1.7823 3.0870 0.0000 1.7823 1.0290 9.3444" Properties=species:S:1:pos:R:3 pbc="T T T"
Sc 0.0000 0.0000 0.0000
O 3.5646 2.0580 4.6722
La 1.7823 1.0290 6.1414
La 5.3469 3.0870 3.2030
```

Final energy = -25.5 eV for the cell shown
Energy relative to the elements, uncorrected = -1.100 eV per atom
DOS at the Fermi energy = 4.5 states/eV per cell

[9]
The following is a DFT calculation (GGA-PBE) of a geometry-optimized LaSc3O structure.

```
5
Lattice="-4.9966 -0.6916 -1.1578 1.3362 -1.9362 -4.6098 0.1828 -4.7495 2.0478" Properties=species:S:1:pos:R:3 pbc="T T T"
Sc 0.6681 -0.9681 -2.3049
Sc 0.0914 -2.3747 1.0239
Sc -2.4983 -0.3458 -0.5789
O -1.7388 -3.6886 -1.8599
La 0.0000 0.0000 0.0000
```

Distance to the lowest polymorph of the same formula = 2263 meV/atom
Final energy = -22.3 eV for the cell shown
Energy relative to the elements, uncorrected = 1.311 eV per atom
DOS at the Fermi energy = 5.8 states/eV per cell

[10]
The following is a DFT calculation (GGA-PBE) of a geometry-optimized La2Sc2O5 structure.

```
18
Lattice="9.0435 0.0250 -0.0035 5.3758 7.2723 0.0035 -7.1946 -3.6785 4.0611" Properties=species:S:1:pos:R:3 pbc="T T T"
La 0.8969 2.8370 2.0558
La 6.2670 0.9021 2.1414
La 2.7714 -0.8669 2.1414
La 4.3925 4.6060 2.0558
Sc -0.0312 0.0617 0.0697
Sc 7.1785 3.7103 0.0697
Sc 3.6140 1.8061 0.1582
Sc 3.5484 1.9357 4.0422
O 5.7692 5.2733 0.0717
O 7.6782 3.9446 2.1007
O -0.5159 -0.2022 2.1007
O 8.5874 2.1479 0.0682
O 1.9646 0.6154 0.4771
O 5.1960 3.1302 3.7275
O 1.6103 1.3156 3.7275
O 5.5503 2.4301 0.4771
O 11.7002 3.7228 0.0660
O -3.6276 -1.7793 2.1004
```

Final energy = -152.0 eV for the cell shown
Energy relative to the elements, uncorrected = -3.190 eV per atom
DOS at the Fermi energy = 2.0 states/eV per cell

[11]
The following is a DFT calculation (GGA-PBE) of a geometry-optimized LaSc2O4 structure.

```
14
Lattice="-4.7369 -4.5128 0.9065 -2.1742 1.0503 -6.1479 6.3243 -1.5979 1.0374" Properties=species:S:1:pos:R:3 pbc="T T T"
La 0.3472 -1.1394 -3.8656
La 0.0000 0.0000 0.0000
Sc -3.2818 -2.3013 -4.5534
Sc 0.9673 -3.6247 -0.9610
Sc 3.3360 -1.3686 -1.4144
Sc -2.1951 -2.8261 -1.4793
O -0.7839 -4.4135 -2.0094
O 2.7187 -2.8363 0.0877
O -2.5778 -4.1772 0.1996
O -0.5302 -2.2263 -0.1920
O 0.1560 -4.8677 0.6478
O -1.8117 -1.4751 -3.1584
O -3.8597 -3.4260 -2.7672
O 1.7786 -2.3826 -2.5698
```

Distance to the lowest polymorph of the same formula = 42 meV/atom
Final energy = -120.7 eV for the cell shown
Energy relative to the elements, uncorrected = -3.277 eV per atom
DOS at the Fermi energy = 5.6 states/eV per cell

[12]
The following is a DFT calculation (GGA-PBE) of a geometry-optimized LaScO3 structure.

```
5
Lattice="4.0754 0.0000 0.0000 0.0000 4.0754 0.0000 0.0000 0.0000 4.0754" Properties=species:S:1:pos:R:3 pbc="T T T"
Sc 2.0377 2.0377 2.0377
O 0.0000 2.0377 2.0377
O 2.0377 0.0000 2.0377
O 2.0377 2.0377 0.0000
La 0.0000 0.0000 0.0000
```

Final energy = -42.8 eV for the cell shown
Energy relative to the elements, uncorrected = -3.329 eV per atom
DOS at the Fermi energy = 0.0 states/eV per cell

[13]
The following is a DFT calculation (GGA-PBE) of a geometry-optimized LaScO3 structure.

```
10
Lattice="3.4852 0.0026 0.0000 -1.7342 6.0983 0.0000 0.0000 0.0000 7.1249" Properties=species:S:1:pos:R:3 pbc="T T T"
La -0.8590 5.8660 1.7812
La 2.6100 0.2349 5.3437
Sc 2.6141 2.6280 1.7812
Sc -0.8631 3.4730 5.3437
O 2.6149 1.1135 0.4794
O -0.8639 4.9874 6.6455
O 2.6149 1.1135 3.0830
O -0.8639 4.9874 4.0419
O 0.8713 3.6781 1.7812
O 0.8797 2.4228 5.3437
```

Final energy = -84.3 eV for the cell shown
Energy relative to the elements, uncorrected = -3.208 eV per atom
DOS at the Fermi energy = 0.0 states/eV per cell

[14]
The following is a DFT calculation (GGA-PBE) of a geometry-optimized LaScO structure.

```
6
Lattice="-1.1714 5.2265 -0.9190 -2.3359 -0.8910 -2.0897 -5.6527 -0.5587 4.0276" Properties=species:S:1:pos:R:3 pbc="T T T"
La -3.7341 -0.4999 1.9166
La -6.8919 1.6335 2.0067
O -2.4867 0.8461 -0.0521
O -3.0724 3.4594 -0.5117
Sc -2.9341 -0.8944 -1.3465
Sc -4.3752 1.6957 -0.8475
```

Distance to the lowest polymorph of the same formula = 0 meV/atom
Final energy = -43.7 eV for the cell shown
Energy relative to the elements, uncorrected = -1.882 eV per atom
DOS at the Fermi energy = 4.7 states/eV per cell

[15]
The following is a DFT calculation (GGA-PBE) of a geometry-optimized La2ScSe2O2 structure.

```
7
Lattice="-0.9008 0.9630 3.9855 2.1815 -3.3425 1.3007 5.7989 5.5489 -2.2410" Properties=species:S:1:pos:R:3 pbc="T T T"
La 4.8536 3.2857 0.3031
La 2.2260 -0.1163 2.7421
Sc 0.0000 0.0000 0.0000
Se 2.2684 1.5356 0.1417
Se 4.8112 1.6338 2.9036
O 1.0908 -1.6712 0.6504
O -0.4504 0.4815 1.9928
```

Final energy = -51.5 eV for the cell shown
Energy relative to the elements, uncorrected = -2.627 eV per atom
DOS at the Fermi energy = 3.5 states/eV per cell

[16]
The following is a DFT calculation (GGA-PBE) of a geometry-optimized LaScSe2O structure.

```
10
Lattice="4.0086 0.0000 0.0000 0.0000 4.0086 0.0000 0.0000 0.0000 14.0606" Properties=species:S:1:pos:R:3 pbc="T T T"
La 2.0043 0.0000 8.2946
La 0.0000 2.0043 5.7660
Sc 2.0043 0.0000 1.5900
Sc 0.0000 2.0043 12.4706
Se 0.0000 2.0043 9.9947
Se 0.0000 2.0043 1.2529
Se 2.0043 0.0000 12.8077
Se 2.0043 0.0000 4.0659
O 0.0000 0.0000 7.0303
O 2.0043 2.0043 7.0303
```

Final energy = -70.0 eV for the cell shown
Energy relative to the elements, uncorrected = -2.363 eV per atom
DOS at the Fermi energy = 1.8 states/eV per cell

[17]
The following is a DFT calculation (GGA-PBE) of a geometry-optimized La2ScSiO structure.

```
5
Lattice="5.0569 0.0000 0.0000 0.0000 5.0569 0.0000 0.0000 0.0000 4.2885" Properties=species:S:1:pos:R:3 pbc="T T T"
Sc 0.0000 0.0000 2.1443
Si 2.5284 2.5284 2.1443
O 0.0000 0.0000 0.0000
La 0.0000 2.5284 0.0000
La 2.5284 0.0000 0.0000
```

Final energy = -33.5 eV for the cell shown
Energy relative to the elements, uncorrected = -1.393 eV per atom
DOS at the Fermi energy = 2.9 states/eV per cell

[18]
The following is a DFT calculation (GGA-PBE) of a geometry-optimized LaScSi2O structure.

```
5
Lattice="4.5368 0.0000 0.0000 0.0000 4.5905 0.0000 0.0000 0.0000 4.5368" Properties=species:S:1:pos:R:3 pbc="T T T"
Sc 2.2684 2.2953 2.2684
Si 0.0000 0.0000 2.2684
Si 2.2684 0.0000 0.0000
O 0.0000 0.0000 0.0000
La 0.0000 2.2953 0.0000
```

Final energy = -30.4 eV for the cell shown
Energy relative to the elements, uncorrected = -0.660 eV per atom
DOS at the Fermi energy = 3.4 states/eV per cell

[19]
The following is a DFT calculation (GGA-PBE) of a geometry-optimized LaSc2SiO structure.

```
5
Lattice="5.3682 0.0000 0.0000 0.0000 5.1014 0.0000 0.0000 0.0000 5.3682" Properties=species:S:1:pos:R:3 pbc="T T T"
Sc 0.0000 0.0000 2.6841
Sc 2.6841 0.0000 0.0000
Si 0.0000 2.5507 0.0000
O 2.6841 2.5507 2.6841
La 0.0000 0.0000 0.0000
```

Distance to the lowest polymorph of the same formula = 2420 meV/atom
Final energy = -20.9 eV for the cell shown
Energy relative to the elements, uncorrected = 1.419 eV per atom
DOS at the Fermi energy = 3.9 states/eV per cell

[20]
The following is a DFT calculation (GGA-PBE) of a geometry-optimized LaSc2SiO structure.

```
5
Lattice="4.3229 0.0000 0.0000 0.0000 5.7103 0.0000 0.0000 0.0000 4.3229" Properties=species:S:1:pos:R:3 pbc="T T T"
Sc 0.0000 0.0000 2.1614
Sc 2.1614 0.0000 0.0000
Si 0.0000 2.8551 0.0000
O 0.0000 0.0000 0.0000
La 2.1614 2.8551 2.1614
```

Distance to the lowest polymorph of the same formula = 0 meV/atom
Final energy = -33.0 eV for the cell shown
Energy relative to the elements, uncorrected = -1.001 eV per atom
DOS at the Fermi energy = 5.9 states/eV per cell